Entry 1:
First-principles (PBE) data for an optimized crystal structure of YCd2Hg2, as listed in Alexandria.

Calculated values
- volume (Å³ per atom) = 24.8
- energy above the lowest structure with this stoichiometry (eV/f.u.) = 0.87
- energy relative to the elements (meV/atom) = -95
- crystal system = tetragonal

a = 8.204 Å, b = 8.204 Å, c = 3.685 Å
α = 90.00°, β = 90.00°, γ = 90.00°
Space group P4/mbm (No. 127)
Symmetry-distinct sites (fractional):
Y: 0.000 0.000 0.000 x2
Cd: 0.123 0.377 0.000 x4
Hg: 0.181 0.681 0.500 x4

***

Entry 2:
First-principles (PBE) data for an optimized crystal structure of Y4CdHg3, as listed in Alexandria.

Calculated values
- volume (Å³ per atom) = 26.0
- energy relative to the elements (meV/atom) = -470
- crystal system = tetragonal

a = 5.262 Å, b = 5.262 Å, c = 15.028 Å
α = 90.00°, β = 90.00°, γ = 90.00°
Space group I4/mmm (No. 139)
Symmetry-distinct sites (fractional):
Y: 0.000 0.500 0.126 x8
Cd: 0.000 0.000 0.000 x2
Hg: 0.000 0.000 0.249 x4
Hg: 0.000 0.000 0.500 x2

***

Entry 3:
First-principles (PBE) data for an optimized crystal structure of Y2Cd3Hg4, as listed in Alexandria.

Calculated values
- volume (Å³ per atom) = 24.6
- energy above the lowest structure with this stoichiometry (eV/f.u.) = 0.84
- energy relative to the elements (meV/atom) = -209
- crystal system = orthorhombic

a = 6.210 Å, b = 17.026 Å, c = 8.360 Å
α = 90.00°, β = 90.00°, γ = 90.00°
Space group Cmce (No. 64)
Symmetry-distinct sites (fractional):
Y: 0.000 0.101 0.094 x8
Cd: 0.000 0.000 0.500 x4
Cd: 0.250 0.230 0.750 x8
Hg: 0.000 0.169 0.461 x8
Hg: 0.250 0.059 0.750 x8

***

Entry 4:
First-principles (PBE) data for an optimized crystal structure of YCd6Hg12, as listed in Alexandria.

Calculated values
- volume (Å³ per atom) = 25.7
- energy above the lowest structure with this stoichiometry (eV/f.u.) = 0.10
- energy relative to the elements (meV/atom) = -42
- crystal system = trigonal

a = 11.3995 Å, b = 11.3995 Å, c = 13.0215 Å
α = 90.00°, β = 90.00°, γ = 120.00°
Space group R-3 (No. 148, hexagonal axes)
Symmetry-distinct sites (fractional):
Y: 0.0000 0.0000 0.0000 x3
Cd: 0.0167 0.5815 0.7133 x18
Hg: 0.0388 0.8509 0.8151 x18
Hg: 0.0622 0.2040 0.4045 x18

***

Entry 5:
First-principles (PBE) data for an optimized crystal structure of Y3Cd2Hg7, as listed in Alexandria.

Calculated values
- volume (Å³ per atom) = 25.4
- energy relative to the elements (meV/atom) = -237
- crystal system = monoclinic

a = 5.032 Å, b = 3.654 Å, c = 16.762 Å
α = 90.00°, β = 98.12°, γ = 90.00°
Space group P2/m (No. 10)
Symmetry-distinct sites (fractional):
Y: 0.000 0.000 0.000 x1
Y: 0.309 0.500 0.621 x2
Cd: 0.145 0.000 0.290 x2
Hg: 0.073 0.500 0.147 x2
Hg: 0.230 0.000 0.458 x2
Hg: 0.397 0.000 0.796 x2
Hg: 0.500 0.500 0.000 x1

***

Entry 6:
First-principles (PBE) data for an optimized crystal structure of Y4CdHg, as listed in Alexandria.

Calculated values
- volume (Å³ per atom) = 28.5
- energy above the lowest structure with this stoichiometry (eV/f.u.) = 0.00
- energy relative to the elements (meV/atom) = -272
- crystal system = tetragonal

a = 3.617 Å, b = 3.617 Å, c = 13.079 Å
α = 90.00°, β = 90.00°, γ = 90.00°
Space group P4/mmm (No. 123)
Symmetry-distinct sites (fractional):
Y: 0.000 0.000 0.152 x2
Y: 0.500 0.500 0.344 x2
Cd: 0.000 0.000 0.500 x1
Hg: 0.500 0.500 0.000 x1

***

> What is the energy relative to the elements in the second record?

-470 meV/atom

***

Repeat the fourth record exactly.
First-principles (PBE) data for an optimized crystal structure of YCd6Hg12, as listed in Alexandria.

Calculated values
- volume (Å³ per atom) = 25.7
- energy above the lowest structure with this stoichiometry (eV/f.u.) = 0.10
- energy relative to the elements (meV/atom) = -42
- crystal system = trigonal

a = 11.3995 Å, b = 11.3995 Å, c = 13.0215 Å
α = 90.00°, β = 90.00°, γ = 120.00°
Space group R-3 (No. 148, hexagonal axes)
Symmetry-distinct sites (fractional):
Y: 0.0000 0.0000 0.0000 x3
Cd: 0.0167 0.5815 0.7133 x18
Hg: 0.0388 0.8509 0.8151 x18
Hg: 0.0622 0.2040 0.4045 x18

***

> Among the records above, which one has the lowest energy relative to the elements?

Y4CdHg3